No. 1
Material: Fe2CoAu
Method: DFT, GGA-PBE
State: relaxed

## Properties
Calculated formation energy ... 109 meV/atom
E_tot ... -26.87 eV/cell
E above lowest polymorph ... 9 kJ/mol of formula units
Total moment ... 7.29 μB per formula unit
SG ... No. 99

Cell lengths 2.8893, 2.8893, 6.4044 Å; angles 90.00, 90.00, 90.00 degrees
With the nearest neighbours (Å) after each atom.
Atoms (fractional coordinates):
1 Fe 0.0000 0.0000 0.0000  4 Co 2.42, 4 Fe 2.52
2 Fe 0.5000 0.5000 0.2308  4 Fe 2.52, 4 Au 2.73, 1 Co 2.77
3 Co 0.5000 0.5000 0.7979  4 Fe 2.42
4 Au 0.0000 0.0000 0.5140  4 Fe 2.73, 4 Co 2.73, 4 Au 2.89

---

No. 2
Material: BaWN3
Method: DFT, GGA-PBE
State: relaxed

## Properties
E_tot ... -83.29 eV/cell
Uncorrected formation energy ... -0.359 eV per atom
Total moment ... 0.00 μB per formula unit
SG ... No. 51

Cell lengths 6.4055, 3.6601, 7.2402 Å; angles 90.00, 90.00, 90.00 degrees
With the nearest neighbours (Å) after each atom.
Atoms (fractional coordinates):
1 Ba 0.2500 0.0000 0.2434  5 N 2.72-2.86
2 Ba 0.7500 0.0000 0.7566  5 N 2.72-2.86
3 W 0.2500 0.5000 0.7627  4 N 1.89-1.98
4 W 0.7500 0.5000 0.2373  4 N 1.89-1.98
5 N 0.0333 0.5000 0.5865  1 N 1.32
6 N 0.2500 0.0000 0.8672  2 W 1.98
7 N 0.4667 0.5000 0.5865  1 N 1.32
8 N 0.5333 0.5000 0.4135  1 N 1.32
9 N 0.7500 0.0000 0.1328  2 W 1.98
10 N 0.9667 0.5000 0.4135  1 N 1.32